P.
The following is a PBE-GGA calculation of a geometry-optimized Cd3ReHg structure, from the Alexandria database.

Lattice parameters (Å, degrees): 5.400 5.400 5.400 90.00 90.00 90.00
Space group Pm-3m (No. 221)
One atom of each set of equivalent atoms:
Cd: 0.000 0.000 0.500 x3
Re: 0.000 0.000 0.000 x1
Hg: 0.500 0.500 0.500 x1

***

Q.
The following is a PBE-GGA calculation of a geometry-optimized Cd3ReHg structure, from the Alexandria database.

Lattice parameters (Å, degrees): 5.318 5.318 5.318 90.00 90.00 90.00
Space group Pm-3m (No. 221)
One atom of each set of equivalent atoms:
Cd: 0.000 0.000 0.500 x3
Re: 0.500 0.500 0.500 x1
Hg: 0.000 0.000 0.000 x1

***

P is favored, and the nearest alternative lies 521 meV per atom above it.

***

P.
The following is a PBE-GGA calculation of a geometry-optimized Cd3HgRh structure, from the Alexandria database.

Lattice parameters (Å, degrees): 5.218 5.218 5.218 90.00 90.00 90.00
Space group Pm-3m (No. 221)
One atom of each set of equivalent atoms:
Cd: 0.000 0.000 0.500 x3
Hg: 0.500 0.500 0.500 x1
Rh: 0.000 0.000 0.000 x1

***

Q.
The following is a PBE-GGA calculation of a geometry-optimized Cd3HgRh structure, from the Alexandria database.

Lattice parameters (Å, degrees): 7.683 7.189 8.477 90.00 112.12 90.00
Space group P2_1/c (No. 14)
One atom of each set of equivalent atoms:
Cd: 0.001 0.000 0.251 x4
Cd: 0.306 0.051 0.101 x4
Cd: 0.347 0.749 0.371 x4
Hg: 0.310 0.052 0.604 x4
Rh: 0.060 0.747 0.518 x4

***

Q is favored, and the nearest alternative lies 202 meV per atom above it.